Below is a relaxed DyAl2Te6 crystal, with properties calculated at the PBE level.

Cell lengths 9.282, 9.282, 8.007 Å; angles 99.93, 99.93, 66.32 degrees
Positions (direct):
Dy  0.117  0.883  0.750
Dy  0.883  0.117  0.250
Al  0.216  0.377  0.675
Al  0.377  0.216  0.175
Al  0.623  0.784  0.825
Al  0.784  0.623  0.325
Te  0.039  0.205  0.608
Te  0.120  0.614  0.915
Te  0.205  0.039  0.108
Te  0.285  0.467  0.412
Te  0.386  0.880  0.585
Te  0.467  0.285  0.912
Te  0.533  0.715  0.088
Te  0.614  0.120  0.415
Te  0.715  0.533  0.588
Te  0.795  0.961  0.892
Te  0.880  0.386  0.085
Te  0.961  0.795  0.392

Output
Calculated volume: 34.35 Å³ per atom
Density of states at the Fermi level: 0.045 states/eV/atom
Crystal system: monoclinic
Space-group type: C2/c, No. 15
Formation energy from raw total energies: -484 meV/atom
Size of the total moment: 0.00 μB per formula unit